Below is a relaxed structure of BaSmIn2, with properties calculated at the PBE level.

a b c (Å): 4.0201 4.0201 8.2032
angles (deg): 90.00 90.00 90.00
Closest atoms and distances in Å follow each position.
Fractional positions:
Ba (0.0000, 0.0000, 0.0000)  8 In 3.71, 4 Ba 4.02, 2 Sm 4.10
Sm (0.0000, 0.0000, 0.5000)  8 In 3.32
In (0.5000, 0.5000, 0.2913)  4 Sm 3.32, 1 In 3.42, 4 Ba 3.71
In (0.5000, 0.5000, 0.7087)  4 Sm 3.32, 1 In 3.42, 4 Ba 3.71

spin magnetization	0.000	μB/cell
ΔH_f (0 K)	-169	kJ/mol of formula units


Below is a relaxed structure of Ba2OsRu3O12, with properties calculated at the PBE level.

a b c (Å): 7.2220 7.2220 7.2220
angles (deg): 59.06 59.06 59.06
Closest atoms and distances in Å follow each position.
Fractional positions:
Ba (0.1166, 0.1166, 0.1166)  6 O 2.94-3.18
Ba (0.8834, 0.8834, 0.8834)  6 O 2.94-3.18
Os (0.5000, 0.5000, 0.5000)  6 O 1.91
Ru (0.0000, 0.5000, 0.5000)  6 O 1.94-1.97
Ru (0.5000, 0.0000, 0.5000)  6 O 1.94-1.97
Ru (0.5000, 0.5000, 0.0000)  6 O 1.94-1.97
O (0.1731, 0.1731, 0.5753)  2 Ru 1.94
O (0.1731, 0.5753, 0.1731)  2 Ru 1.94
O (0.1825, 0.5704, 0.5704)  1 Os 1.91, 1 Ru 1.97
O (0.4247, 0.8269, 0.8269)  2 Ru 1.94
O (0.4296, 0.4296, 0.8175)  1 Os 1.91, 1 Ru 1.97
O (0.4296, 0.8175, 0.4296)  1 Os 1.91, 1 Ru 1.97
O (0.5704, 0.1825, 0.5704)  1 Os 1.91, 1 Ru 1.97
O (0.5704, 0.5704, 0.1825)  1 Os 1.91, 1 Ru 1.97
O (0.5753, 0.1731, 0.1731)  2 Ru 1.94
O (0.8175, 0.4296, 0.4296)  1 Os 1.91, 1 Ru 1.97
O (0.8269, 0.4247, 0.8269)  2 Ru 1.94
O (0.8269, 0.8269, 0.4247)  2 Ru 1.94

spin magnetization	2.113	μB/cell
DFT total energy	-7.050	eV per atom


Below is a relaxed structure of CeY6Ho5, with properties calculated at the PBE level.

a b c (Å): 9.4040 9.4040 9.4040
angles (deg): 149.01 115.43 73.34
Closest atoms and distances in Å follow each position.
Fractional positions:
Ce (0.0000, 0.0000, 0.0000)  8 Y 3.54, 4 Ho 3.55
Y (0.0840, 0.8344, 0.2496)  1 Ce 3.54, 4 Y 3.54-3.58, 7 Ho 3.54-3.57
Y (0.2487, 0.5000, 0.7487)  4 Y 3.54, 2 Ce 3.54, 6 Ho 3.55-3.57
Y (0.4152, 0.1656, 0.2496)  1 Ce 3.54, 4 Y 3.54-3.58, 7 Ho 3.54-3.57
Y (0.5848, 0.8344, 0.7504)  1 Ce 3.54, 4 Y 3.54-3.58, 7 Ho 3.54-3.57
Y (0.7513, 0.5000, 0.2513)  4 Y 3.54, 2 Ce 3.54, 6 Ho 3.55-3.57
Y (0.9160, 0.1656, 0.7504)  1 Ce 3.54, 4 Y 3.54-3.58, 7 Ho 3.54-3.57
Ho (0.1667, 0.6667, 0.5000)  8 Y 3.55-3.57, 2 Ho 3.55, 2 Ce 3.55
Ho (0.3328, 0.3328, 0.0000)  4 Ho 3.55-3.56, 8 Y 3.56-3.57
Ho (0.5000, 0.0000, 0.5000)  8 Y 3.54-3.56, 4 Ho 3.56
Ho (0.6672, 0.6672, 0.0000)  4 Ho 3.55-3.56, 8 Y 3.56-3.57
Ho (0.8333, 0.3333, 0.5000)  8 Y 3.55-3.57, 2 Ho 3.55, 2 Ce 3.55

spin magnetization	1.147	μB/cell
ΔH_f (0 K)	49	kJ/mol of formula units


Below is a relaxed structure of RbPdNF2, with properties calculated at the PBE level.

a b c (Å): 5.0924 5.0924 5.4084
angles (deg): 90.00 90.00 90.00
Closest atoms and distances in Å follow each position.
Fractional positions:
Rb (0.0000, 0.0000, 0.0000)  4 F 2.55, 2 N 2.70
Pd (0.5000, 0.5000, 0.5000)  4 N 3.60, 8 F 3.71
N (0.0000, 0.0000, 0.5000)  2 Rb 2.70
F (0.0000, 0.5000, 0.0000)  2 Rb 2.55
F (0.5000, 0.0000, 0.0000)  2 Rb 2.55

spin magnetization	4.016	μB/cell
DFT total energy	-3.092	eV per atom


Below is a relaxed structure of Tl4Sb3H2, with properties calculated at the PBE level.

a b c (Å): 11.6609 11.6609 6.4904
angles (deg): 93.22 93.22 36.64
Closest atoms and distances in Å follow each position.
Fractional positions:
Tl (0.1136, 0.7881, 0.9880)  4 Sb 3.13-3.42, 1 Tl 3.23
Tl (0.1727, 0.4243, 0.2706)  2 H 1.99-2.01
Tl (0.2119, 0.8864, 0.5120)  4 Sb 3.13-3.42, 1 Tl 3.23
Tl (0.4243, 0.1727, 0.7706)  2 H 1.99-2.01
Tl (0.5757, 0.8273, 0.2294)  2 H 1.99-2.01
Tl (0.7881, 0.1136, 0.4880)  4 Sb 3.13-3.42, 1 Tl 3.23
Tl (0.8273, 0.5757, 0.7294)  2 H 1.99-2.01
Tl (0.8864, 0.2119, 0.0120)  4 Sb 3.13-3.42, 1 Tl 3.23
Sb (0.1601, 0.1778, 0.2643)  3 Tl 2.91-3.24, 2 Sb 3.25
Sb (0.1778, 0.1601, 0.7643)  3 Tl 2.91-3.24, 2 Sb 3.25
Sb (0.4984, 0.5016, 0.7500)  4 Tl 3.13-3.17, 2 Sb 3.25
Sb (0.5016, 0.4984, 0.2500)  4 Tl 3.13-3.17, 2 Sb 3.25
Sb (0.8222, 0.8399, 0.2357)  3 Tl 2.91-3.24, 2 Sb 3.25
Sb (0.8399, 0.8222, 0.7357)  3 Tl 2.91-3.24, 2 Sb 3.25
H (0.3203, 0.3419, 0.5319)  2 Tl 1.99-2.01
H (0.3419, 0.3203, 0.0319)  2 Tl 1.99-2.01
H (0.6581, 0.6797, 0.9681)  2 Tl 1.99-2.01
H (0.6797, 0.6581, 0.4681)  2 Tl 1.99-2.01

spin magnetization	0.000	μB/cell
DFT total energy	-2.897	eV per atom


Below is a relaxed structure of ZrTe2W, with properties calculated at the PBE level.

a b c (Å): 7.0703 7.0703 7.0703
angles (deg): 90.00 90.00 90.00
Closest atoms and distances in Å follow each position.
Fractional positions:
Zr (0.0000, 0.0000, 0.0000)  4 Te 3.06, 4 W 3.06
Zr (0.0000, 0.5000, 0.5000)  4 Te 3.06, 4 W 3.06
Zr (0.5000, 0.0000, 0.5000)  4 Te 3.06, 4 W 3.06
Zr (0.5000, 0.5000, 0.0000)  4 Te 3.06, 4 W 3.06
Te (0.0000, 0.0000, 0.5000)  4 W 3.06, 4 Te 3.06
Te (0.0000, 0.5000, 0.0000)  4 W 3.06, 4 Te 3.06
Te (0.2500, 0.2500, 0.2500)  4 Te 3.06, 4 Zr 3.06
Te (0.2500, 0.7500, 0.7500)  4 Zr 3.06, 4 Te 3.06
Te (0.5000, 0.0000, 0.0000)  4 W 3.06, 4 Te 3.06
Te (0.5000, 0.5000, 0.5000)  4 W 3.06, 4 Te 3.06
Te (0.7500, 0.2500, 0.7500)  4 Zr 3.06, 4 Te 3.06
Te (0.7500, 0.7500, 0.2500)  4 Zr 3.06, 4 Te 3.06
W (0.2500, 0.2500, 0.7500)  4 Zr 3.06, 4 Te 3.06
W (0.2500, 0.7500, 0.2500)  4 Zr 3.06, 4 Te 3.06
W (0.7500, 0.2500, 0.2500)  4 Zr 3.06, 4 Te 3.06
W (0.7500, 0.7500, 0.7500)  4 Zr 3.06, 4 Te 3.06

spin magnetization	0.000	μB/cell
DFT total energy	-6.349	eV per atom


Below is a relaxed structure of Li2ScZn, with properties calculated at the PBE level.

a b c (Å): 6.0878 8.0490 3.0151
angles (deg): 90.00 90.00 90.00
Closest atoms and distances in Å follow each position.
Fractional positions:
Li (0.2500, 0.2500, 0.0000)  4 Sc 2.94, 4 Zn 2.94, 4 Li 3.02-3.04
Li (0.2500, 0.7500, 0.0000)  4 Sc 2.94, 4 Zn 2.94, 4 Li 3.02-3.04
Li (0.7500, 0.2500, 0.0000)  4 Sc 2.94, 4 Zn 2.94, 4 Li 3.02-3.04
Li (0.7500, 0.7500, 0.0000)  4 Sc 2.94, 4 Zn 2.94, 4 Li 3.02-3.04
Sc (0.0000, 0.0000, 0.5000)  8 Li 2.94, 2 Sc 3.02, 2 Zn 3.04
Sc (0.5000, 0.5000, 0.5000)  8 Li 2.94, 2 Sc 3.02, 2 Zn 3.04
Zn (0.0000, 0.5000, 0.5000)  8 Li 2.94, 2 Zn 3.02, 2 Sc 3.04
Zn (0.5000, 0.0000, 0.5000)  8 Li 2.94, 2 Zn 3.02, 2 Sc 3.04

spin magnetization	0.003	μB/cell
ΔH_f (0 K)	52	kJ/mol of formula units


Below is a relaxed structure of LaW, with properties calculated at the PBE level.

a b c (Å): 11.9217 3.5579 5.3096
angles (deg): 90.00 116.36 90.00
Closest atoms and distances in Å follow each position.
Fractional positions:
La (0.1152, 0.0000, 0.3657)  8 W 3.24-3.53, 6 La 3.38-3.63
La (0.3848, 0.5000, 0.6343)  8 W 3.24-3.53, 6 La 3.38-3.63
La (0.6152, 0.5000, 0.3657)  8 W 3.24-3.53, 6 La 3.38-3.63
La (0.8848, 0.0000, 0.6343)  8 W 3.24-3.53, 6 La 3.38-3.63
W (0.1674, 0.5000, 0.9177)  2 W 2.51
W (0.3326, 0.0000, 0.0823)  2 W 2.51
W (0.6674, 0.0000, 0.9177)  2 W 2.51
W (0.8326, 0.5000, 0.0823)  2 W 2.51

spin magnetization	0.000	μB/cell
ΔH_f (0 K)	99	kJ/mol of formula units


Below is a relaxed structure of Ce2Ni3P2, with properties calculated at the PBE level.

a b c (Å): 9.9106 3.9144 6.2389
angles (deg): 90.00 111.09 90.00
Closest atoms and distances in Å follow each position.
Fractional positions:
Ce (0.1424, 0.0000, 0.2698)  7 Ni 2.85-3.08, 4 P 2.85-3.02
Ce (0.3576, 0.5000, 0.7302)  7 Ni 2.85-3.08, 4 P 2.85-3.02
Ce (0.6424, 0.5000, 0.2698)  7 Ni 2.85-3.08, 4 P 2.85-3.02
Ce (0.8576, 0.0000, 0.7302)  7 Ni 2.85-3.08, 4 P 2.85-3.02
Ni (0.0000, 0.5000, 0.5000)  2 Ni 2.46, 4 P 2.64
Ni (0.1112, 0.5000, 0.9223)  3 P 2.31-2.47, 1 Ni 2.46
Ni (0.3888, 0.0000, 0.0777)  3 P 2.31-2.47, 1 Ni 2.46
Ni (0.5000, 0.0000, 0.5000)  2 Ni 2.46, 4 P 2.64
Ni (0.6112, 0.0000, 0.9223)  3 P 2.31-2.47, 1 Ni 2.46
Ni (0.8888, 0.5000, 0.0777)  3 P 2.31-2.47, 1 Ni 2.46
P (0.1516, 0.0000, 0.7589)  3 Ni 2.31-2.47
P (0.3484, 0.5000, 0.2411)  3 Ni 2.31-2.47
P (0.6516, 0.5000, 0.7589)  3 Ni 2.31-2.47
P (0.8484, 0.0000, 0.2411)  3 Ni 2.31-2.47

spin magnetization	0.006	μB/cell
ΔH_f (0 K)	-549	kJ/mol of formula units


Below is a relaxed structure of Er8Sb2Pb, with properties calculated at the PBE level.

a b c (Å): 9.4042 9.4042 7.6790
angles (deg): 91.29 91.29 28.39
Closest atoms and distances in Å follow each position.
Fractional positions:
Er (0.0095, 0.0095, 0.2603)  2 Pb 3.05, 1 Sb 3.30
Er (0.2161, 0.2161, 0.3612)  3 Sb 3.22-3.24, 7 Er 3.36-3.49
Er (0.3317, 0.3317, 0.9584)  1 Pb 3.08, 3 Sb 3.14-3.25
Er (0.4031, 0.4031, 0.4715)  2 Sb 3.22, 8 Er 3.44-3.55
Er (0.5969, 0.5969, 0.5285)  2 Sb 3.22, 8 Er 3.44-3.55
Er (0.6683, 0.6683, 0.0416)  1 Pb 3.08, 3 Sb 3.14-3.25
Er (0.7839, 0.7839, 0.6388)  3 Sb 3.22-3.24, 7 Er 3.36-3.49
Er (0.9905, 0.9905, 0.7397)  2 Pb 3.05, 1 Sb 3.30
Sb (0.1717, 0.1717, 0.7642)  9 Er 3.14-3.30
Sb (0.8283, 0.8283, 0.2358)  9 Er 3.14-3.30
Pb (0.5000, 0.5000, 0.0000)  6 Er 3.05-3.08

spin magnetization	0.767	μB/cell
DFT total energy	-4.803	eV per atom


Below is a relaxed structure of LiCe2YTl4, with properties calculated at the PBE level.

a b c (Å): 9.4769 9.4769 9.4769
angles (deg): 32.66 32.66 32.66
Closest atoms and distances in Å follow each position.
Fractional positions:
Li (0.0000, 0.0000, 0.0000)  8 Tl 3.26-3.32
Ce (0.2545, 0.2545, 0.2545)  8 Tl 3.20-3.53
Ce (0.7455, 0.7455, 0.7455)  8 Tl 3.20-3.53
Y (0.5000, 0.5000, 0.5000)  8 Tl 3.29-3.40
Tl (0.1233, 0.1233, 0.1233)  3 Y 3.29, 4 Ce 3.30-3.53, 1 Li 3.32
Tl (0.3734, 0.3734, 0.3734)  4 Ce 3.20-3.25, 3 Li 3.26, 1 Y 3.40
Tl (0.6266, 0.6266, 0.6266)  4 Ce 3.20-3.25, 3 Li 3.26, 1 Y 3.40
Tl (0.8767, 0.8767, 0.8767)  3 Y 3.29, 4 Ce 3.30-3.53, 1 Li 3.32

spin magnetization	1.925	μB/cell
ΔH_f (0 K)	-214	kJ/mol of formula units


Below is a relaxed structure of LaTcOs2, with properties calculated at the PBE level.

a b c (Å): 2.9301 4.3608 5.8920
angles (deg): 90.00 100.01 90.00
Closest atoms and distances in Å follow each position.
Fractional positions:
La (0.0000, 0.0000, 0.0000)  6 Os 2.92-3.25, 2 La 2.93, 2 Tc 3.15
Tc (0.2499, 0.5000, 0.6556)  6 Os 2.64-2.83, 2 Tc 2.93
Os (0.6048, 0.5000, 0.2733)  2 Os 2.56, 2 Tc 2.64-2.68
Os (0.6559, 0.0000, 0.5049)  2 Os 2.56, 4 Tc 2.71-2.83

spin magnetization	0.000	μB/cell
ΔH_f (0 K)	181	kJ/mol of formula units